A plane-wave DFT calculation with GGA-PBE was carried out for SrTi3Sn after structural relaxation.

Summary:
The symmetry is No. 221. Its offset from the most stable computed form is 0.000 eV per formula unit. The calculation puts the magnetization at 0.00 μB/cell. As for the crystal system: cubic. The calculation puts the volume at 28.37 Å³ per atom.

Cell lengths 5.2151, 5.2151, 5.2151 Å; angles 90.00, 90.00, 90.00 degrees
Last column: nearest neighbours and their distance in Å.
Fractional positions:
Sr: 0.0000 0.0000 0.0000  12 Ti 3.69
Ti: 0.0000 0.5000 0.5000  2 Sn 2.61
Ti: 0.5000 0.0000 0.5000  2 Sn 2.61
Ti: 0.5000 0.5000 0.0000  2 Sn 2.61
Sn: 0.5000 0.5000 0.5000  6 Ti 2.61

A plane-wave DFT calculation with GGA-PBE was carried out for Sr3TiSn after structural relaxation.

Summary:
The symmetry is No. 221. Its offset from the most stable computed form is 0.000 eV per formula unit. The calculation puts the magnetization at 0.62 μB/cell. As for the crystal system: cubic. The calculation puts the volume at 49.84 Å³ per atom.

Cell lengths 6.2929, 6.2929, 6.2929 Å; angles 90.00, 90.00, 90.00 degrees
Last column: nearest neighbours and their distance in Å.
Fractional positions:
Sr: 0.0000 0.0000 0.5000  2 Sn 3.15
Sr: 0.0000 0.5000 0.0000  2 Sn 3.15
Sr: 0.5000 0.0000 0.0000  2 Sn 3.15
Ti: 0.5000 0.5000 0.5000  12 Sr 4.45
Sn: 0.0000 0.0000 0.0000  6 Sr 3.15

Computed values of energy relative to the elements (unit: kJ per mole of atoms) for the preceding records, in sequence: 78.05 56.30.